Record 1
Tc4PCl, optimized geometry, DFT PBE-GGA; magnetization = 0.00 μB/cell; N(E_F) = 1.284 states/eV/atom; uncorrected formation energy = 1053 meV/atom
1.0
0.0000 3.6584 3.6584
3.6584 0.0000 3.6584
3.6584 3.6584 0.0000
Tc P Cl
4 1 1
Direct
0.1244 0.1244 0.1244
0.1244 0.1244 0.6266
0.1244 0.6266 0.1244
0.6266 0.1244 0.1244
0.7500 0.7500 0.7500
0.5000 0.5000 0.5000


Record 2
NpAu6, optimized geometry, DFT PBE-GGA; magnetization = 4.99 μB/cell; excess energy over the best structure of this formula in the dataset = 721.0 meV/atom; N(E_F) = 2.172 states/eV/atom; energy of formation from the pure elements = 642 meV per atom
1.0
-3.7078 3.7078 3.7078
3.7078 -3.7078 3.7078
3.7078 3.7078 -3.7078
Np Au
1 6
Direct
0.0000 0.0000 0.0000
0.2500 0.5000 0.7500
0.2500 0.7500 0.5000
0.5000 0.2500 0.7500
0.5000 0.7500 0.2500
0.7500 0.2500 0.5000
0.7500 0.5000 0.2500


Record 3
CoSiI2, optimized geometry, DFT PBE-GGA; magnetization = 2.00 μB/cell; excess energy over the best structure of this formula in the dataset = 0.0 meV/atom; N(E_F) = 0.874 states/eV/atom; uncorrected formation energy = 683 meV/atom
1.0
-3.5222 3.5222 4.7066
3.5222 -3.5222 4.7066
3.5222 3.5222 -4.7066
Co Si I
2 2 4
Direct
0.0000 0.0000 0.0000
0.7500 0.2500 0.5000
0.2500 0.7500 0.5000
0.5000 0.5000 0.0000
0.0734 0.1250 0.4484
0.3750 0.9266 0.0516
0.6766 0.6250 0.5516
0.8750 0.3234 0.9484


Record 4
Na2LaIn, optimized geometry, DFT PBE-GGA; magnetization = 0.00 μB/cell; N(E_F) = 1.292 states/eV/atom; energy of formation from the pure elements = 70 meV per atom
1.0
-2.3508 2.3508 12.4035
2.3508 -2.3508 12.4035
2.3508 2.3508 -12.4035
Na La In
4 2 2
Direct
0.0881 0.6250 0.9631
0.3750 0.3381 0.4631
0.6619 0.1250 0.0369
0.8750 0.9119 0.5369
0.2500 0.7500 0.5000
0.5000 0.5000 0.0000
0.0000 0.0000 0.0000
0.7500 0.2500 0.5000


Record 5
CeNd2Dy3Y6, optimized geometry, DFT PBE-GGA; magnetization = 1.03 μB/cell; N(E_F) = 1.709 states/eV/atom; energy of formation from the pure elements = 39 meV per atom
1.0
3.1072 -5.3804 0.0000
3.1072 5.3804 0.0000
-2.0687 0.0000 11.6566
Ce Nd Dy Y
1 2 3 6
Direct
0.0000 0.0000 0.0000
0.3335 0.6665 0.0000
0.6665 0.3335 0.0000
0.1671 0.8329 0.5000
0.5000 0.5000 0.5000
0.8329 0.1671 0.5000
0.0840 0.4149 0.2519
0.2470 0.2470 0.7478
0.4149 0.0840 0.2519
0.5851 0.9160 0.7481
0.7530 0.7530 0.2522
0.9160 0.5851 0.7481


Record 6
Sc5Sn2RuRh2, optimized geometry, DFT PBE-GGA; magnetization = 0.00 μB/cell; N(E_F) = 0.357 states/eV/atom; energy of formation from the pure elements = -657 meV per atom
1.0
10.9881 0.0000 0.0000
0.0000 10.9881 0.0000
0.0000 0.0000 3.3186
Sc Sn Ru Rh
10 4 2 4
Direct
0.0000 0.5000 0.0000
0.0655 0.1924 0.0000
0.1924 0.9345 0.0000
0.3076 0.4345 0.0000
0.4345 0.6924 0.0000
0.5000 0.0000 0.0000
0.5655 0.3076 0.0000
0.6924 0.5655 0.0000
0.8076 0.0655 0.0000
0.9345 0.8076 0.0000
0.1734 0.6734 0.5000
0.3266 0.1734 0.5000
0.6734 0.8266 0.5000
0.8266 0.3266 0.5000
0.0000 0.0000 0.5000
0.5000 0.5000 0.5000
0.1354 0.3646 0.5000
0.3646 0.8646 0.5000
0.6354 0.1354 0.5000
0.8646 0.6354 0.5000


Record 7
Ta2InBr, optimized geometry, DFT PBE-GGA; magnetization = 0.00 μB/cell; excess energy over the best structure of this formula in the dataset = 643.7 meV/atom; N(E_F) = 0.170 states/eV/atom; uncorrected formation energy = 714 meV/atom
1.0
0.0000 3.3716 3.3716
3.3716 0.0000 3.3716
3.3716 3.3716 0.0000
Ta In Br
2 1 1
Direct
0.2500 0.2500 0.2500
0.7500 0.7500 0.7500
0.0000 0.0000 0.0000
0.5000 0.5000 0.5000


Record 8
AlSb2Te, optimized geometry, DFT PBE-GGA; magnetization = 0.00 μB/cell; excess energy over the best structure of this formula in the dataset = 296.1 meV/atom; N(E_F) = 0.725 states/eV/atom; uncorrected formation energy = 209 meV/atom
1.0
1.9899 -2.4166 0.0000
1.9899 2.4166 0.0000
0.0000 0.0000 11.2134
Al Sb Te
1 2 1
Direct
0.0000 0.0000 0.0000
0.5000 0.5000 0.1985
0.5000 0.5000 0.8015
0.0000 0.0000 0.5000


Record 9
KPu2HgBr8, optimized geometry, DFT PBE-GGA; magnetization = 8.96 μB/cell; N(E_F) = 1.794 states/eV/atom; uncorrected formation energy = -1313 meV/atom
1.0
7.0692 0.0000 0.0000
0.2950 7.9580 0.0000
0.0071 0.0054 8.6637
K Pu Hg Br
1 2 1 8
Direct
0.0000 0.0000 0.0000
0.5000 0.5000 0.2505
0.5000 0.5000 0.7495
0.0000 0.0000 0.5000
0.2669 0.3803 0.0001
0.2689 0.3859 0.5002
0.2969 0.8011 0.2452
0.2970 0.8012 0.7547
0.7030 0.1988 0.2453
0.7031 0.1989 0.7548
0.7311 0.6141 0.4998
0.7331 0.6197 0.9999


Record 10
BiAsC3, optimized geometry, DFT PBE-GGA; magnetization = 0.00 μB/cell; excess energy over the best structure of this formula in the dataset = 0.0 meV/atom; N(E_F) = 0.689 states/eV/atom; energy of formation from the pure elements = 2372 meV per atom
1.0
4.0523 0.0000 0.0000
0.0000 4.0523 0.0000
0.0000 0.0000 4.0523
Bi As C
1 1 3
Direct
0.0000 0.0000 0.0000
0.5000 0.5000 0.5000
0.0000 0.5000 0.5000
0.5000 0.0000 0.5000
0.5000 0.5000 0.0000


Record 11
ReTe3Os, optimized geometry, DFT PBE-GGA; magnetization = 0.00 μB/cell; N(E_F) = 1.242 states/eV/atom; uncorrected formation energy = 1771 meV/atom
1.0
5.0733 0.0000 0.0000
0.0000 5.0733 0.0000
0.0000 0.0000 5.0733
Re Te Os
1 3 1
Direct
0.0000 0.0000 0.0000
0.0000 0.5000 0.5000
0.5000 0.0000 0.5000
0.5000 0.5000 0.0000
0.5000 0.5000 0.5000


Q: Among the records above, which one has the lowest N(E_F)?
A: Ta2InBr


Repeat the eighth record exactly.
AlSb2Te, optimized geometry, DFT PBE-GGA; magnetization = 0.00 μB/cell; excess energy over the best structure of this formula in the dataset = 296.1 meV/atom; N(E_F) = 0.725 states/eV/atom; uncorrected formation energy = 209 meV/atom
1.0
1.9899 -2.4166 0.0000
1.9899 2.4166 0.0000
0.0000 0.0000 11.2134
Al Sb Te
1 2 1
Direct
0.0000 0.0000 0.0000
0.5000 0.5000 0.1985
0.5000 0.5000 0.8015
0.0000 0.0000 0.5000


Q: Which of these has the lowest N(E_F)?
A: Ta2InBr


Repeat the eleventh record exactly.
ReTe3Os, optimized geometry, DFT PBE-GGA; magnetization = 0.00 μB/cell; N(E_F) = 1.242 states/eV/atom; uncorrected formation energy = 1771 meV/atom
1.0
5.0733 0.0000 0.0000
0.0000 5.0733 0.0000
0.0000 0.0000 5.0733
Re Te Os
1 3 1
Direct
0.0000 0.0000 0.0000
0.0000 0.5000 0.5000
0.5000 0.0000 0.5000
0.5000 0.5000 0.0000
0.5000 0.5000 0.5000